DFT (GGA-PBE) results for Tc3AgF after structural relaxation.

abc: 4.205 4.205 4.205
angles: 90.00 90.00 90.00
Atoms (fractional coordinates):
Tc (0.000, 0.000, 0.500)
Tc (0.000, 0.500, 0.000)
Tc (0.500, 0.000, 0.000)
Ag (0.500, 0.500, 0.500)
F (0.000, 0.000, 0.000)

As for the distance to the lowest polymorph of the same formula: 0.000 eV per atom. Its density of states at the Fermi level is 1.588 states/eV per atom. The space group is Pm-3m (221). For the raw total energy, the calculation gives -30.87 eV for the cell shown. Its magnetization is 1.71 μB per cell. As for the formation energy from raw total energies: 0.9905 eV/atom.


DFT (GGA-PBE) results for TcAg2F8 after structural relaxation.

abc: 6.356 6.356 4.511
angles: 90.53 90.53 76.38
Atoms (fractional coordinates):
Tc (0.000, 0.000, 0.000)
Ag (0.375, 0.375, 0.755)
Ag (0.625, 0.625, 0.245)
F (0.082, 0.739, 0.780)
F (0.149, 0.149, 0.731)
F (0.261, 0.918, 0.220)
F (0.397, 0.397, 0.255)
F (0.603, 0.603, 0.745)
F (0.739, 0.082, 0.780)
F (0.851, 0.851, 0.269)
F (0.918, 0.261, 0.220)

Its density of states at the Fermi level is 0.906 states/eV per atom. The space group is C2/m (12). For the raw total energy, the calculation gives -48.91 eV for the cell shown. Its magnetization is 1.19 μB per cell. As for the formation energy from raw total energies: -1.6247 eV/atom.


DFT (GGA-PBE) results for Tc3AgF after structural relaxation.

abc: 5.125 5.125 5.125
angles: 90.00 90.00 90.00
Atoms (fractional coordinates):
Tc (0.000, 0.000, 0.500)
Tc (0.000, 0.500, 0.000)
Tc (0.500, 0.000, 0.000)
Ag (0.000, 0.000, 0.000)
F (0.500, 0.500, 0.500)

As for the distance to the lowest polymorph of the same formula: 1.294 eV per atom. Its density of states at the Fermi level is 1.103 states/eV per atom. The space group is Pm-3m (221). For the raw total energy, the calculation gives -24.40 eV for the cell shown. Its magnetization is 12.10 μB per cell. As for the formation energy from raw total energies: 2.2848 eV/atom.


Question: Which of these has the lowest magnetization?
Answer: TcAg2F8


Question: Which of these has the lowest formation energy from raw total energies?
Answer: TcAg2F8


Question: Which value of formation energy from raw total energies does entry 1 give?
Answer: 0.9905 eV/atom